# MnHgSe2, optimized geometry, DFT GGA-PBE
# SG   P1, No. 1
data_MnHgSe2
_symmetry_space_group_name_H-M 'P 1'
_symmetry_Int_Tables_number 1
_cell_length_a 3.3961
_cell_length_b 3.3967
_cell_length_c 9.3271
_cell_angle_alpha 90.13
_cell_angle_beta 90.02
_cell_angle_gamma 119.97
loop_
_symmetry_equiv_pos_as_xyz
'x,y,z'
loop_
_atom_site_label
_atom_site_type_symbol
_atom_site_fract_x
_atom_site_fract_y
_atom_site_fract_z
Mn1 Mn 0.0000 0.0000 0.0000
Hg1 Hg 0.3196 0.6783 0.5002
Se1 Se 0.6658 0.3317 0.8376
Se2 Se 0.6677 0.3349 0.1624

# MnHgSe2, optimized geometry, DFT GGA-PBE
# SG   I4_1/amd, No. 141
data_MnHgSe2
_symmetry_space_group_name_H-M 'P 1'
_symmetry_Int_Tables_number 1
_cell_length_a 7.0203
_cell_length_b 7.0203
_cell_length_c 7.0203
_cell_angle_alpha 135.20
_cell_angle_beta 135.20
_cell_angle_gamma 65.22
loop_
_symmetry_equiv_pos_as_xyz
'x,y,z'
loop_
_atom_site_label
_atom_site_type_symbol
_atom_site_fract_x
_atom_site_fract_y
_atom_site_fract_z
Mn1 Mn 0.3750 0.6250 0.7500
Mn2 Mn 0.6250 0.3750 0.2500
Hg1 Hg 0.1250 0.8750 0.2500
Hg2 Hg 0.8750 0.1250 0.7500
Se1 Se 0.1722 0.4222 0.7500
Se2 Se 0.4222 0.1722 0.2500
Se3 Se 0.5778 0.8278 0.7500
Se4 Se 0.8278 0.5778 0.2500

# MnHg3Se4, optimized geometry, DFT GGA-PBE
# SG   Pmn2_1, No. 31
data_MnHg3Se4
_symmetry_space_group_name_H-M 'P 1'
_symmetry_Int_Tables_number 1
_cell_length_a 8.6921
_cell_length_b 7.5303
_cell_length_c 7.1292
_cell_angle_alpha 90.00
_cell_angle_beta 90.00
_cell_angle_gamma 90.00
loop_
_symmetry_equiv_pos_as_xyz
'x,y,z'
loop_
_atom_site_label
_atom_site_type_symbol
_atom_site_fract_x
_atom_site_fract_y
_atom_site_fract_z
Mn1 Mn 0.0000 0.1692 0.0000
Mn2 Mn 0.5000 0.8308 0.5000
Hg1 Hg 0.0000 0.8370 0.4994
Hg2 Hg 0.2492 0.6688 0.9976
Hg3 Hg 0.2508 0.3312 0.4976
Hg4 Hg 0.5000 0.1630 0.9994
Hg5 Hg 0.7492 0.3312 0.4976
Hg6 Hg 0.7508 0.6688 0.9976
Se1 Se 0.0000 0.1701 0.6459
Se2 Se 0.0000 0.8531 0.1184
Se3 Se 0.2386 0.3269 0.1170
Se4 Se 0.2614 0.6731 0.6170
Se5 Se 0.5000 0.1469 0.6184
Se6 Se 0.5000 0.8299 0.1459
Se7 Se 0.7386 0.6731 0.6170
Se8 Se 0.7614 0.3269 0.1170

# Mn2HgSe, optimized geometry, DFT GGA-PBE
# SG   P4mm, No. 99
data_Mn2HgSe
_symmetry_space_group_name_H-M 'P 1'
_symmetry_Int_Tables_number 1
_cell_length_a 3.2109
_cell_length_b 3.2109
_cell_length_c 7.3839
_cell_angle_alpha 90.00
_cell_angle_beta 90.00
_cell_angle_gamma 90.00
loop_
_symmetry_equiv_pos_as_xyz
'x,y,z'
loop_
_atom_site_label
_atom_site_type_symbol
_atom_site_fract_x
_atom_site_fract_y
_atom_site_fract_z
Mn1 Mn 0.0000 0.0000 0.0000
Mn2 Mn 0.5000 0.5000 0.2104
Hg1 Hg 0.5000 0.5000 0.7704
Se1 Se 0.0000 0.0000 0.3511

# MnHgSe2, optimized geometry, DFT GGA-PBE
# SG   F-43m, No. 216
data_MnHgSe2
_symmetry_space_group_name_H-M 'P 1'
_symmetry_Int_Tables_number 1
_cell_length_a 4.9133
_cell_length_b 4.9133
_cell_length_c 4.9133
_cell_angle_alpha 60.00
_cell_angle_beta 60.00
_cell_angle_gamma 60.00
loop_
_symmetry_equiv_pos_as_xyz
'x,y,z'
loop_
_atom_site_label
_atom_site_type_symbol
_atom_site_fract_x
_atom_site_fract_y
_atom_site_fract_z
Mn1 Mn 0.0000 0.0000 0.0000
Hg1 Hg 0.7500 0.7500 0.7500
Se1 Se 0.2500 0.2500 0.2500
Se2 Se 0.5000 0.5000 0.5000

# MnHgSe2, optimized geometry, DFT GGA-PBE
# SG   C2/c, No. 15
data_MnHgSe2
_symmetry_space_group_name_H-M 'P 1'
_symmetry_Int_Tables_number 1
_cell_length_a 8.1445
_cell_length_b 8.1445
_cell_length_c 5.3612
_cell_angle_alpha 99.20
_cell_angle_beta 99.20
_cell_angle_gamma 133.27
loop_
_symmetry_equiv_pos_as_xyz
'x,y,z'
loop_
_atom_site_label
_atom_site_type_symbol
_atom_site_fract_x
_atom_site_fract_y
_atom_site_fract_z
Mn1 Mn 0.0026 0.9974 0.7500
Mn2 Mn 0.9974 0.0026 0.2500
Hg1 Hg 0.2710 0.7290 0.2500
Hg2 Hg 0.7290 0.2710 0.7500
Se1 Se 0.1211 0.2975 0.6080
Se2 Se 0.2975 0.1211 0.1080
Se3 Se 0.7025 0.8789 0.8920
Se4 Se 0.8789 0.7025 0.3920

Record-wise energy values, in eV for the cell shown: -17.45, -31.16, -52.19, -21.79, -14.89, -34.29
Record-wise volume values, in Å³/atom: 23.302, 21.162, 29.165, 19.031, 20.967, 29.620
Record-wise uncorrected formation energy values, in eV/atom: -0.2534, 0.2150, -0.2603, 0.0850, 0.3882, -0.1760